ScTi2CdO: relaxed, PBE-GGA.

Output
E_form (uncorrected): -1.154 eV/atom
D(E_F): 4.39 states/eV/cell
ρ: 5.702 g/cm3
Total DFT energy (no corrections): -6.753 eV/atom

The structure in CIF format:
```
data_ScTi2CdO
_cell_length_a 4.199
_cell_length_b 4.199
_cell_length_c 4.444
_cell_angle_alpha 90.00
_cell_angle_beta 90.00
_cell_angle_gamma 90.00
_symmetry_space_group_name_H-M 'P 4/m m m'
_symmetry_Int_Tables_number 123
_symmetry_space_group_name_Hall '-P 4 2'
loop_
_atom_site_label
_atom_site_type_symbol
_atom_site_fract_x
_atom_site_fract_y
_atom_site_fract_z
Sc1 Sc 0.000 0.000 0.000
Ti1 Ti 0.000 0.500 0.500
Cd1 Cd 0.500 0.500 0.000
O1 O 0.000 0.000 0.500
```